[1]
## BaAcAsBr (PBE-GGA)

Data for a relaxed BaAcAsBr crystal.

**Excess energy over the best structure of this formula in the dataset**: 187.1 meV per atom
**Energy relative to the elements, uncorrected**: -1281 meV per atom
**Space-group type**: F-43m, No. 216
**Electronic total energy**: -4.37 eV/atom
**Volume**: 30.73 Å³/atom

a = 5.5809 Å, b = 5.5809 Å, c = 5.5809 Å
α = 60.00°, β = 60.00°, γ = 60.00°
With the nearest neighbours (Å) after each atom.
Positions (direct):
Ba1 0.0000 0.0000 0.0000  4 As 3.42, 4 Br 3.42
Ac1 0.5000 0.5000 0.5000  4 Br 3.42, 4 As 3.42
As1 0.7500 0.7500 0.7500  4 Ac 3.42, 4 Ba 3.42
Br1 0.2500 0.2500 0.2500  4 Ac 3.42, 4 Ba 3.42

[2]
## BaAcAsBr (PBE-GGA)

Data for a relaxed BaAcAsBr crystal.

**Excess energy over the best structure of this formula in the dataset**: 0.0 meV per atom
**Energy relative to the elements, uncorrected**: -1468 meV per atom
**Space-group type**: R3m, No. 160
**Electronic total energy**: -4.56 eV/atom
**Volume**: 36.66 Å³/atom

a = 8.5814 Å, b = 8.5814 Å, c = 8.5814 Å
α = 30.77°, β = 30.77°, γ = 30.77°
With the nearest neighbours (Å) after each atom.
Positions (direct):
Ba1 0.0000 0.0000 0.0000  3 As 3.23
Ac1 0.8083 0.8083 0.8083  3 As 3.08, 3 Br 3.42
As1 0.4098 0.4098 0.4098  3 Ac 3.08, 3 Ba 3.23
Br1 0.2309 0.2309 0.2309  3 Ac 3.42, 3 Ba 3.63

[3]
## BaAcCdAs (PBE-GGA)

Data for a relaxed BaAcCdAs crystal.

**Space-group type**: F-43m, No. 216
**Electronic total energy**: -3.43 eV/atom
**Formation energy**: -0.53 eV per atom
**Volume**: 32.65 Å³/atom

a = 5.6948 Å, b = 5.6948 Å, c = 5.6948 Å
α = 60.00°, β = 60.00°, γ = 60.00°
With the nearest neighbours (Å) after each atom.
Positions (direct):
Ba1 0.0000 0.0000 0.0000  4 As 3.49, 4 Cd 3.49
Ac1 0.5000 0.5000 0.5000  4 As 3.49, 4 Cd 3.49
Cd1 0.2500 0.2500 0.2500  4 Ba 3.49, 4 Ac 3.49
As1 0.7500 0.7500 0.7500  4 Ac 3.49, 4 Ba 3.49

[4]
## Ba3AcCe2As6 (PBE-GGA)

Data for a relaxed Ba3AcCe2As6 crystal.

**Space-group type**: C2/m, No. 12
**Electronic total energy**: -5.34 eV/atom
**Formation energy**: -1.21 eV per atom
**Volume**: 32.82 Å³/atom

a = 7.7829 Å, b = 7.7829 Å, c = 7.9494 Å
α = 99.40°, β = 99.40°, γ = 120.05°
With the nearest neighbours (Å) after each atom.
Positions (direct):
Ba1 0.0000 0.0000 0.0000  6 As 3.27-3.43
Ba2 0.3358 0.6642 0.0000  6 As 3.29-3.44
Ba3 0.6642 0.3358 0.0000  6 As 3.29-3.44
Ac1 0.5000 0.5000 0.5000  6 As 3.16-3.17
Ce1 0.1673 0.8327 0.5000  6 As 2.98-2.99
Ce2 0.8327 0.1673 0.5000  6 As 2.98-2.99
As1 0.0775 0.4289 0.2878  2 Ce 2.98, 1 Ac 3.17, 1 Ba 3.29
As2 0.2189 0.2189 0.7115  2 Ce 2.99, 1 Ac 3.16, 1 Ba 3.27
As3 0.4289 0.0775 0.2878  2 Ce 2.98, 1 Ac 3.17, 1 Ba 3.29
As4 0.5711 0.9225 0.7122  2 Ce 2.98, 1 Ac 3.17, 1 Ba 3.29
As5 0.7811 0.7811 0.2885  2 Ce 2.99, 1 Ac 3.16, 1 Ba 3.27
As6 0.9225 0.5711 0.7122  2 Ce 2.98, 1 Ac 3.17, 1 Ba 3.29

[5]
## Ba2AcCeAs4 (PBE-GGA)

Data for a relaxed Ba2AcCeAs4 crystal.

**Space-group type**: P2/m, No. 10
**Electronic total energy**: -5.24 eV/atom
**Formation energy**: -1.18 eV per atom
**Volume**: 33.54 Å³/atom

a = 7.8385 Å, b = 4.5295 Å, c = 7.9938 Å
α = 90.00°, β = 109.04°, γ = 90.00°
With the nearest neighbours (Å) after each atom.
Positions (direct):
Ba1 0.0000 0.0000 0.0000  6 As 3.45-3.47
Ba2 0.5000 0.5000 0.0000  6 As 3.31
Ac1 0.0000 0.5000 0.5000  6 As 3.16
Ce1 0.5000 0.0000 0.5000  6 As 2.98-3.02
As1 0.2571 0.0000 0.7202  1 Ce 2.98, 2 Ac 3.16, 2 Ba 3.31
As2 0.2778 0.5000 0.2883  2 Ce 3.02, 1 Ac 3.16, 1 Ba 3.31
As3 0.7222 0.5000 0.7117  2 Ce 3.02, 1 Ac 3.16, 1 Ba 3.31
As4 0.7429 0.0000 0.2798  1 Ce 2.98, 2 Ac 3.16, 2 Ba 3.31

[6]
## BaAcAsCl (PBE-GGA)

Data for a relaxed BaAcAsCl crystal.

**Excess energy over the best structure of this formula in the dataset**: 152.4 meV per atom
**Energy relative to the elements, uncorrected**: -1400 meV per atom
**Space-group type**: F-43m, No. 216
**Electronic total energy**: -4.53 eV/atom
**Volume**: 29.31 Å³/atom

a = 5.4937 Å, b = 5.4937 Å, c = 5.4937 Å
α = 60.00°, β = 60.00°, γ = 60.00°
With the nearest neighbours (Å) after each atom.
Positions (direct):
Ba1 0.0000 0.0000 0.0000  4 As 3.36, 4 Cl 3.36
Ac1 0.5000 0.5000 0.5000  4 As 3.36, 4 Cl 3.36
As1 0.7500 0.7500 0.7500  4 Ba 3.36, 4 Ac 3.36
Cl1 0.2500 0.2500 0.2500  4 Ac 3.36, 4 Ba 3.36

[7]
## Ba2AcAs2Cl2 (PBE-GGA)

Data for a relaxed Ba2AcAs2Cl2 crystal.

**Energy relative to the elements, uncorrected**: -1549 meV per atom
**Space-group type**: I4/mmm, No. 139
**Electronic total energy**: -4.54 eV/atom
**Volume**: 39.81 Å³/atom

a = 9.0152 Å, b = 9.0152 Å, c = 9.0152 Å
α = 141.76°, β = 141.76°, γ = 55.19°
With the nearest neighbours (Å) after each atom.
Positions (direct):
Ba1 0.1216 0.1216 0.0000  1 Cl 3.03
Ba2 0.8784 0.8784 0.0000  1 Cl 3.03
Ac1 0.5000 0.5000 0.0000  4 As 2.95, 2 Cl 3.02
As1 0.0000 0.5000 0.5000  2 Ac 2.95
As2 0.5000 0.0000 0.5000  2 Ac 2.95
Cl1 0.3110 0.3110 0.0000  1 Ac 3.02, 1 Ba 3.03
Cl2 0.6890 0.6890 0.0000  1 Ac 3.02, 1 Ba 3.03

[8]
## BaAcAsCl (PBE-GGA)

Data for a relaxed BaAcAsCl crystal.

**Excess energy over the best structure of this formula in the dataset**: 0.0 meV per atom
**Energy relative to the elements, uncorrected**: -1553 meV per atom
**Space-group type**: R3m, No. 160
**Electronic total energy**: -4.68 eV/atom
**Volume**: 34.98 Å³/atom

a = 8.3745 Å, b = 8.3745 Å, c = 8.3745 Å
α = 31.21°, β = 31.21°, γ = 31.21°
With the nearest neighbours (Å) after each atom.
Positions (direct):
Ba1 0.0000 0.0000 0.0000  3 As 3.21, 3 Cl 3.55
Ac1 0.8134 0.8134 0.8134  3 As 3.06, 3 Cl 3.31
As1 0.4122 0.4122 0.4122  3 Ac 3.06, 3 Ba 3.21
Cl1 0.2322 0.2322 0.2322  3 Ac 3.31, 3 Ba 3.55